1.
Na2ScIn2 | Alexandria | PBE-GGA | relaxed; energy of formation = 72 meV per atom; excess energy over the best structure of this formula in the dataset = 14 meV per atom; density of states at the Fermi level = 0.477 states/eV per atom
1.0
8.547 0.000 0.000
0.000 8.547 0.000
0.000 0.000 3.617
Na Sc In
4 2 4
direct
0.161 0.339 0.000
0.339 0.839 0.000
0.661 0.161 0.000
0.839 0.661 0.000
0.000 0.000 0.500
0.500 0.500 0.500
0.138 0.638 0.500
0.362 0.138 0.500
0.638 0.862 0.500
0.862 0.362 0.500


2.
PmEr2Mg3 | Alexandria | PBE-GGA | relaxed; energy of formation = -77 meV per atom; density of states at the Fermi level = 1.335 states/eV per atom
1.0
3.792 0.000 0.000
0.000 3.792 0.000
0.000 0.000 11.411
Pm Er Mg
1 2 3
direct
0.000 0.000 0.000
0.000 0.000 0.337
0.000 0.000 0.663
0.500 0.500 0.175
0.500 0.500 0.500
0.500 0.500 0.825


3.
Sr3MgIn3 | Alexandria | PBE-GGA | relaxed; energy of formation = -370 meV per atom; density of states at the Fermi level = 0.865 states/eV per atom
1.0
6.256 -2.462 0.000
6.256 2.462 0.000
-5.784 0.000 15.609
Sr Mg In
6 2 6
direct
0.026 0.026 0.381
0.108 0.108 0.922
0.244 0.244 0.229
0.756 0.756 0.771
0.892 0.892 0.078
0.974 0.974 0.619
0.260 0.260 0.594
0.740 0.740 0.406
0.373 0.373 0.455
0.393 0.393 0.923
0.463 0.463 0.765
0.537 0.537 0.235
0.607 0.607 0.077
0.627 0.627 0.545


4.
AlPdI2N | Alexandria | PBE-GGA | relaxed; excess energy over the best structure of this formula in the dataset = 0 meV per atom; E_form (uncorrected) = 0.384 eV/atom; density of states at the Fermi level = 1.540 states/eV per atom
1.0
5.750 0.000 0.000
0.000 5.750 0.000
0.000 0.000 3.467
Al Pd I N
1 1 2 1
direct
0.000 0.000 0.000
0.500 0.500 0.500
0.000 0.500 0.000
0.500 0.000 0.000
0.000 0.000 0.500